(1)
A geometry-optimized PmY3Ho2 structure. Source: Alexandria via LeMat-Bulk, functional PBE.

a = 6.6339 Å, b = 6.6339 Å, c = 8.9974 Å
α = 81.57°, β = 81.57°, γ = 94.55°
Closest atoms and distances in Å follow each position.
Atoms (fractional coordinates):
Pm: 0.9234 0.0766 0.7500  5 Y 3.24-3.50
Pm: 0.0766 0.9234 0.2500  5 Y 3.24-3.50
Y: 0.4092 0.5908 0.2500  1 Pm 3.24, 4 Y 3.26-3.52
Y: 0.5908 0.4092 0.7500  1 Pm 3.24, 4 Y 3.26-3.52
Y: 0.8307 0.6652 0.0030  2 Pm 3.24-3.50, 3 Y 3.26-3.52
Y: 0.3348 0.1693 0.4970  2 Pm 3.24-3.50, 3 Y 3.26-3.52
Y: 0.6652 0.8307 0.5030  2 Pm 3.24-3.50, 3 Y 3.26-3.52
Y: 0.1693 0.3348 0.9970  2 Pm 3.24-3.50, 3 Y 3.26-3.52
Ho: 0.1280 0.6229 0.6254  2 Ho 3.50-3.52, 3 Pm 3.65-3.74, 9 Y 3.66-3.73
Ho: 0.6229 0.1280 0.1254  2 Ho 3.50-3.52, 3 Pm 3.65-3.74, 9 Y 3.66-3.73
Ho: 0.3771 0.8720 0.8746  2 Ho 3.50-3.52, 3 Pm 3.65-3.74, 9 Y 3.66-3.73
Ho: 0.8720 0.3771 0.3746  2 Ho 3.50-3.52, 3 Pm 3.65-3.74, 9 Y 3.66-3.73

Results
E above lowest polymorph = 0.061 eV/atom
mass density = 6.39 g/cm3
energy relative to the elements = 0.07 eV per atom



(2)
A geometry-optimized MnCrP structure. Source: Alexandria via LeMat-Bulk, functional PBE.

a = 3.8462 Å, b = 3.8462 Å, c = 2.6658 Å
α = 90.00°, β = 90.00°, γ = 120.00°
Closest atoms and distances in Å follow each position.
Atoms (fractional coordinates):
Cr: 0.0000 0.0000 0.0000  6 P 2.59, 6 Mn 2.59, 2 Cr 2.67
Mn: 0.3333 0.6667 0.5004  3 P 2.22
P: 0.6667 0.3333 0.4996  3 Mn 2.22

Results
mass density = 6.71 g/cm3
energy relative to the elements = -0.27 eV per atom



(3)
A geometry-optimized U2ReTc structure. Source: Alexandria via LeMat-Bulk, functional PBE.

a = 3.1565 Å, b = 4.3290 Å, c = 6.1979 Å
α = 91.01°, β = 90.00°, γ = 111.38°
Closest atoms and distances in Å follow each position.
Atoms (fractional coordinates):
U: 0.7256 0.4512 0.7526  3 Tc 2.67-2.87, 3 Re 2.73-2.85
U: 0.2744 0.5488 0.2474  3 Tc 2.67-2.87, 3 Re 2.73-2.85
Re: 0.0000 0.0000 0.5000  6 U 2.73-2.85
Tc: 0.0000 0.0000 0.0000  6 U 2.67-2.87

Results
mass density = 16.01 g/cm3
energy relative to the elements = 0.27 eV per atom



(4)
A geometry-optimized RbBaIn2Si structure. Source: Alexandria via LeMat-Bulk, functional PBE.

a = 6.0750 Å, b = 5.8209 Å, c = 6.0750 Å
α = 90.00°, β = 90.00°, γ = 90.00°
Closest atoms and distances in Å follow each position.
Atoms (fractional coordinates):
Si: 0.0000 0.5000 0.0000  2 Rb 2.91
Ba: 0.5000 0.5000 0.5000  8 In 4.21, 4 Si 4.30
Rb: 0.0000 0.0000 0.0000  2 Si 2.91, 4 In 3.04
In: 0.0000 0.0000 0.5000  2 Rb 3.04
In: 0.5000 0.0000 0.0000  2 Rb 3.04

Results
formation energy from raw total energies = 0.765 eV/atom
mass density = 3.71 g/cm3